Below is a PBEsol-optimized structure of BaAs2BrF, with properties calculated at the meta-GGA SCAN level.

abc: 4.4490 4.4490 6.1139
angles: 90.00 90.00 90.00
Last column: nearest neighbours and their distance in Å.
Element x y z (fractional)
As  0.5000  0.0000  0.0000  2 F 2.22
As  0.0000  0.5000  0.0000  2 F 2.22
Ba  0.5000  0.5000  0.5000  4 Br 3.15
F  0.0000  0.0000  0.0000  4 As 2.22
Br  0.0000  0.0000  0.5000  2 F 3.06, 4 Ba 3.15

Summary:
- Density of states at the Fermi level: 0.658 states/eV/atom
- ΔE_f (raw): -0.880 eV per atom
- Calculated density: 5.30 Mg/m³
- Total DFT energy (no corrections): -107.33 eV per cell